Record 1
An optimized crystal structure of ErZrCu2. Source: Alexandria via LeMat-Bulk, functional GGA-PBE.

Computed properties:
Space group: P4/mmm, No. 123
DFT formation energy: -163 meV per atom

POSCAR file:
```
ErZrCu2
1.0
3.3533 0.0000 0.0000
0.0000 3.3533 0.0000
0.0000 0.0000 6.7260
Er Zr Cu
1 1 2
Direct
0.0000 0.0000 0.0000 Er
0.0000 0.0000 0.5000 Zr
0.5000 0.5000 0.2719 Cu
0.5000 0.5000 0.7281 Cu
```

Record 2
An optimized crystal structure of AsOs2Au. Source: Alexandria via LeMat-Bulk, functional GGA-PBE.

Computed properties:
Space group: P4mm, No. 99
DFT formation energy: 332 meV per atom

POSCAR file:
```
AsOs2Au
1.0
2.8368 0.0000 0.0000
0.0000 2.8368 0.0000
0.0000 0.0000 8.3778
As Os Au
1 2 1
Direct
0.0000 0.0000 0.0000 As
0.0000 0.0000 0.5762 Os
0.5000 0.5000 0.7786 Os
0.5000 0.5000 0.3256 Au
```

Record 3
An optimized crystal structure of Ag7PdPt3. Source: Alexandria via LeMat-Bulk, functional GGA-PBE.

Computed properties:
Space group: P3m1, No. 156
DFT formation energy: 84 meV per atom

POSCAR file:
```
Ag7PdPt3
1.0
5.7020 0.0000 0.0000
-2.8510 4.9380 0.0000
0.0000 0.0000 6.9629
Ag Pd Pt
7 1 3
Direct
0.0000 0.0000 0.0000 Ag
0.0023 0.5011 0.0007 Ag
0.1687 0.3374 0.3458 Ag
0.1687 0.8313 0.3458 Ag
0.4989 0.5011 0.0007 Ag
0.4989 0.9977 0.0007 Ag
0.6626 0.8313 0.3458 Ag
0.6667 0.3333 0.3468 Pd
0.3354 0.1677 0.6707 Pt
0.8323 0.1677 0.6707 Pt
0.8323 0.6646 0.6707 Pt
```

Record 4
An optimized crystal structure of TbPr3Zn2. Source: Alexandria via LeMat-Bulk, functional GGA-PBE.

Computed properties:
Space group: Ibam, No. 72
DFT formation energy: 55 meV per atom

POSCAR file:
```
TbPr3Zn2
1.0
-3.5144 7.4755 3.6629
3.5144 -7.4755 3.6629
3.5144 7.4755 -3.6629
Tb Pr Zn
2 6 4
Direct
0.0000 0.0000 0.0000 Tb
0.5000 0.5000 0.0000 Tb
0.0256 0.2500 0.7756 Pr
0.2500 0.7500 0.5000 Pr
0.4744 0.2500 0.2244 Pr
0.5256 0.7500 0.7756 Pr
0.7500 0.2500 0.5000 Pr
0.9744 0.7500 0.2244 Pr
0.1363 0.7044 0.8407 Zn
0.3637 0.2044 0.5682 Zn
0.6363 0.7956 0.4318 Zn
0.8637 0.2956 0.1593 Zn
```

Record 5
An optimized crystal structure of AlIr2IN. Source: Alexandria via LeMat-Bulk, functional GGA-PBE.

Computed properties:
Space group: P4/mmm, No. 123
Formation energy from raw total energies: 9.7 eV per formula unit

POSCAR file:
```
AlIr2IN
1.0
4.9852 0.0000 0.0000
0.0000 4.9852 0.0000
0.0000 0.0000 3.8649
Al Ir I N
1 2 1 1
Direct
0.0000 0.0000 0.0000 Al
0.0000 0.5000 0.5000 Ir
0.5000 0.0000 0.5000 Ir
0.5000 0.5000 0.5000 I
0.5000 0.5000 0.0000 N
```

Record 6
An optimized crystal structure of LaReSb2Te. Source: Alexandria via LeMat-Bulk, functional GGA-PBE.

Computed properties:
Space group: P4/mmm, No. 123
Formation energy from raw total energies: 0.4 eV per formula unit

POSCAR file:
```
LaReSb2Te
1.0
5.0679 0.0000 0.0000
0.0000 5.0679 0.0000
0.0000 0.0000 5.8880
La Re Sb Te
1 1 2 1
Direct
0.0000 0.0000 0.0000 La
0.5000 0.5000 0.5000 Re
0.0000 0.5000 0.5000 Sb
0.5000 0.0000 0.5000 Sb
0.5000 0.5000 0.0000 Te
```